a.
Entry from Alexandria via LeMat-Bulk: an optimized crystal structure of Co2SiSb (PBE).

POSCAR file:
```
Co2SiSb
1.0
-2.312 2.258 -6.885
-0.037 0.474 -7.591
-2.729 -0.683 -7.066
Si Co Sb
1 2 1
direct
0.750 0.750 0.750
0.009 0.009 0.009
0.491 0.491 0.491
0.250 0.250 0.250
```

Results
Calculated volume ... 56.8 Å³ per cell
SG ... R-3m
Density of states at the Fermi level ... 1.162 states/eV/atom

b.
Entry from Alexandria via LeMat-Bulk: an optimized crystal structure of Co2SiSb (PBE).

POSCAR file:
```
Co2SiSb
1.0
-0.082 3.657 2.210
-1.898 3.795 -0.508
-3.892 -0.442 2.579
Co Si Sb
2 1 1
direct
0.978 0.978 0.115
0.752 0.752 0.763
0.271 0.271 0.090
0.499 0.499 0.532
```

Results
Calculated volume ... 58.8 Å³ per cell
SG ... Cm
Density of states at the Fermi level ... 0.637 states/eV/atom

c.
Entry from Alexandria via LeMat-Bulk: an optimized crystal structure of Co2SiSb (PBE).

POSCAR file:
```
Co2SiSb
1.0
-2.617 0.250 -1.229
-0.975 -2.193 1.630
-1.780 4.254 4.657
Co Si Sb
2 1 1
direct
0.000 0.000 0.555
0.000 0.000 0.945
0.500 0.500 0.750
0.500 0.500 0.250
```

Results
Calculated volume ... 55.2 Å³ per cell
SG ... P4/mmm
Density of states at the Fermi level ... 0.809 states/eV/atom

d.
Entry from Alexandria via LeMat-Bulk: an optimized crystal structure of Co2SiSb (PBE).

POSCAR file:
```
Co2SiSb
1.0
-1.959 0.894 -3.775
-1.035 -3.221 -2.728
-4.165 -1.087 -0.598
Co Sb Si
2 1 1
direct
0.750 0.750 0.750
0.000 0.000 0.000
0.500 0.500 0.500
0.250 0.250 0.250
```

Results
Calculated volume ... 58.0 Å³ per cell
SG ... F-43m
Density of states at the Fermi level ... 1.554 states/eV/atom

Looking at the structures above, which would you pick as the most stable? I would pick b.